A relaxed structure of AcMg4Pd2, computed with GGA-PBE.

Values from the calculation:
For the relative energy among the computed polymorphs, the calculation gives 0.000 eV/atom. The value obtained for the calculated formation energy is -0.546 eV/atom.

Cell and atoms, written as CIF:
```
data_AcMg4Pd2
_space_group_name_H-M_alt 'P 42/m n m'
_space_group_IT_number 136
_space_group_name_Hall '-P 4n 2n'
_cell_length_a 8.3003
_cell_length_b 8.3003
_cell_length_c 4.5235
_cell_angle_alpha 90.00
_cell_angle_beta 90.00
_cell_angle_gamma 90.00
loop_
_atom_site_label
_atom_site_type_symbol
_atom_site_fract_x
_atom_site_fract_y
_atom_site_fract_z
_atom_site_occupancy
Ac1 Ac 0.0000 0.0000 0.0000 1
Mg1 Mg 0.0887 0.3392 0.5000 1
Pd1 Pd 0.2264 0.7736 0.5000 1
```

***

A relaxed structure of AcMgPd, computed with GGA-PBE.

Values from the calculation:
For the relative energy among the computed polymorphs, the calculation gives 0.197 eV/atom. The value obtained for the calculated formation energy is -0.437 eV/atom.

Cell and atoms, written as CIF:
```
data_AcMgPd
_space_group_name_H-M_alt 'I 4 m m'
_space_group_IT_number 107
_space_group_name_Hall 'I 4 -2'
_cell_length_a 3.6202
_cell_length_b 3.6202
_cell_length_c 11.7731
_cell_angle_alpha 90.00
_cell_angle_beta 90.00
_cell_angle_gamma 90.00
loop_
_atom_site_label
_atom_site_type_symbol
_atom_site_fract_x
_atom_site_fract_y
_atom_site_fract_z
_atom_site_occupancy
Ac1 Ac 0.0000 0.0000 0.0000 1
Mg1 Mg 0.0000 0.0000 0.2792 1
Pd1 Pd 0.0000 0.0000 0.6710 1
```

***

A relaxed structure of Ac3MgPd, computed with GGA-PBE.

Values from the calculation:
The value obtained for the calculated formation energy is -0.141 eV/atom.

Cell and atoms, written as CIF:
```
data_Ac3MgPd
_space_group_name_H-M_alt 'P m -3 m'
_space_group_IT_number 221
_space_group_name_Hall '-P 4 2 3'
_cell_length_a 5.9170
_cell_length_b 5.9170
_cell_length_c 5.9170
_cell_angle_alpha 90.00
_cell_angle_beta 90.00
_cell_angle_gamma 90.00
loop_
_atom_site_label
_atom_site_type_symbol
_atom_site_fract_x
_atom_site_fract_y
_atom_site_fract_z
_atom_site_occupancy
Ac1 Ac 0.0000 0.0000 0.5000 1
Mg1 Mg 0.5000 0.5000 0.5000 1
Pd1 Pd 0.0000 0.0000 0.0000 1
```

***

A relaxed structure of AcMg3Pd3, computed with GGA-PBE.

Values from the calculation:
The value obtained for the calculated formation energy is -0.493 eV/atom.

Cell and atoms, written as CIF:
```
data_AcMg3Pd3
_space_group_name_H-M_alt 'R -3'
_space_group_IT_number 148
_space_group_name_Hall '-R 3'
_cell_length_a 7.0773
_cell_length_b 7.0773
_cell_length_c 20.6368
_cell_angle_alpha 90.00
_cell_angle_beta 90.00
_cell_angle_gamma 120.00
loop_
_atom_site_label
_atom_site_type_symbol
_atom_site_fract_x
_atom_site_fract_y
_atom_site_fract_z
_atom_site_occupancy
Ac1 Ac 0.0000 0.0000 0.1557 1
Mg1 Mg 0.0485 0.7678 0.7028 1
Pd1 Pd 0.0055 0.7694 0.5679 1
```

***

A relaxed structure of Ac2MgPd, computed with GGA-PBE.

Values from the calculation:
For the relative energy among the computed polymorphs, the calculation gives 0.568 eV/atom. The value obtained for the calculated formation energy is 0.180 eV/atom.

Cell and atoms, written as CIF:
```
data_Ac2MgPd
_space_group_name_H-M_alt 'R -3 m'
_space_group_IT_number 166
_space_group_name_Hall '-R 3 2"'
_cell_length_a 3.7242
_cell_length_b 3.7242
_cell_length_c 33.9645
_cell_angle_alpha 90.00
_cell_angle_beta 90.00
_cell_angle_gamma 120.00
loop_
_atom_site_label
_atom_site_type_symbol
_atom_site_fract_x
_atom_site_fract_y
_atom_site_fract_z
_atom_site_occupancy
Ac1 Ac 0.0000 0.0000 0.0821 1
Mg1 Mg 0.0000 0.0000 0.5000 1
Pd1 Pd 0.0000 0.0000 0.0000 1
```

***

A relaxed structure of AcMg4Pd2, computed with GGA-PBE.

Values from the calculation:
For the relative energy among the computed polymorphs, the calculation gives 0.062 eV/atom. The value obtained for the calculated formation energy is -0.484 eV/atom.

Cell and atoms, written as CIF:
```
data_AcMg4Pd2
_space_group_name_H-M_alt 'C m m m'
_space_group_IT_number 65
_space_group_name_Hall '-C 2 2'
_cell_length_a 4.3976
_cell_length_b 16.6321
_cell_length_c 4.3647
_cell_angle_alpha 90.00
_cell_angle_beta 90.00
_cell_angle_gamma 90.00
loop_
_atom_site_label
_atom_site_type_symbol
_atom_site_fract_x
_atom_site_fract_y
_atom_site_fract_z
_atom_site_occupancy
Ac1 Ac 0.0000 0.0000 0.0000 1
Mg1 Mg 0.0000 0.1803 0.5000 1
Mg2 Mg 0.0000 0.3196 0.0000 1
Pd1 Pd 0.0000 0.4162 0.5000 1
```

***

A relaxed structure of Ac2MgPd5, computed with GGA-PBE.

Values from the calculation:
The value obtained for the calculated formation energy is -0.699 eV/atom.

Cell and atoms, written as CIF:
```
data_Ac2MgPd5
_space_group_name_H-M_alt 'I 4 m m'
_space_group_IT_number 107
_space_group_name_Hall 'I 4 -2'
_cell_length_a 6.4809
_cell_length_b 6.4809
_cell_length_c 8.5045
_cell_angle_alpha 90.00
_cell_angle_beta 90.00
_cell_angle_gamma 90.00
loop_
_atom_site_label
_atom_site_type_symbol
_atom_site_fract_x
_atom_site_fract_y
_atom_site_fract_z
_atom_site_occupancy
Ac1 Ac 0.0000 0.5000 0.0000 1
Mg1 Mg 0.0000 0.0000 0.2049 1
Pd1 Pd 0.0000 0.0000 0.5146 1
Pd2 Pd 0.2173 0.2173 0.7566 1
```

***

A relaxed structure of Ac2Mg5Pd3, computed with GGA-PBE.

Values from the calculation:
The value obtained for the calculated formation energy is -0.464 eV/atom.

Cell and atoms, written as CIF:
```
data_Ac2Mg5Pd3
_space_group_name_H-M_alt 'P -1'
_space_group_IT_number 2
_cell_length_a 6.4073
_cell_length_b 9.0209
_cell_length_c 9.0290
_cell_angle_alpha 84.45
_cell_angle_beta 73.81
_cell_angle_gamma 73.79
loop_
_space_group_symop_operation_xyz
'x,y,z'
'-x,-y,-z'
loop_
_atom_site_label
_atom_site_type_symbol
_atom_site_fract_x
_atom_site_fract_y
_atom_site_fract_z
_atom_site_occupancy
Ac1 Ac 0.1712 0.1019 0.1217 1
Ac2 Ac 0.3286 0.3781 0.3978 1
Mg1 Mg 0.0114 0.2541 0.7609 1
Mg2 Mg 0.1410 0.5483 0.7690 1
Mg3 Mg 0.2500 0.9954 0.5047 1
Mg4 Mg 0.3600 0.7298 0.9523 1
Mg5 Mg 0.4888 0.7393 0.2462 1
Pd1 Pd 0.1181 0.7331 0.5077 1
Pd2 Pd 0.2487 0.4635 0.0360 1
Pd3 Pd 0.3820 0.9916 0.7670 1
```

***

A relaxed structure of AcMg2Pd5, computed with GGA-PBE.

Values from the calculation:
The value obtained for the calculated formation energy is -0.604 eV/atom.

Cell and atoms, written as CIF:
```
data_AcMg2Pd5
_space_group_name_H-M_alt 'I m m m'
_space_group_IT_number 71
_space_group_name_Hall '-I 2 2'
_cell_length_a 4.1171
_cell_length_b 6.7167
_cell_length_c 11.3240
_cell_angle_alpha 90.00
_cell_angle_beta 90.00
_cell_angle_gamma 90.00
loop_
_atom_site_label
_atom_site_type_symbol
_atom_site_fract_x
_atom_site_fract_y
_atom_site_fract_z
_atom_site_occupancy
Ac1 Ac 0.0000 0.0000 0.0000 1
Mg1 Mg 0.0000 0.5000 0.2265 1
Pd1 Pd 0.0000 0.2069 0.3736 1
Pd2 Pd 0.0000 0.5000 0.0000 1
```

***

A relaxed structure of AcMg2Pd, computed with GGA-PBE.

Values from the calculation:
For the relative energy among the computed polymorphs, the calculation gives 0.023 eV/atom. The value obtained for the calculated formation energy is -0.501 eV/atom.

Cell and atoms, written as CIF:
```
data_AcMg2Pd
_space_group_name_H-M_alt 'P n m a'
_space_group_IT_number 62
_cell_length_a 16.4550
_cell_length_b 8.3251
_cell_length_c 5.9355
_cell_angle_alpha 90.00
_cell_angle_beta 90.00
_cell_angle_gamma 90.00
loop_
_space_group_symop_operation_xyz
'x,y,z'
'-x,-y,-z'
'-x+1/2,-y,z+1/2'
'x+1/2,y,-z+1/2'
'x+1/2,-y+1/2,-z+1/2'
'-x+1/2,y+1/2,z+1/2'
'-x,y+1/2,-z'
'x,-y+1/2,z'
loop_
_atom_site_label
_atom_site_type_symbol
_atom_site_fract_x
_atom_site_fract_y
_atom_site_fract_z
_atom_site_occupancy
Ac1 Ac 0.1040 0.2500 0.2313 1
Ac2 Ac 0.1358 0.7500 0.0405 1
Mg1 Mg 0.0425 0.0586 0.7215 1
Mg2 Mg 0.2113 0.5562 0.5378 1
Pd1 Pd 0.0696 0.7500 0.5257 1
Pd2 Pd 0.1862 0.2500 0.7514 1
```

***

A relaxed structure of Ac12MgPd7, computed with GGA-PBE.

Values from the calculation:
The value obtained for the calculated formation energy is -0.499 eV/atom.

Cell and atoms, written as CIF:
```
data_Ac12MgPd7
_space_group_name_H-M_alt 'R -3'
_space_group_IT_number 148
_space_group_name_Hall '-R 3'
_cell_length_a 15.9850
_cell_length_b 15.9850
_cell_length_c 9.3736
_cell_angle_alpha 90.00
_cell_angle_beta 90.00
_cell_angle_gamma 120.00
loop_
_atom_site_label
_atom_site_type_symbol
_atom_site_fract_x
_atom_site_fract_y
_atom_site_fract_z
_atom_site_occupancy
Ac1 Ac 0.0141 0.5812 0.3202 1
Ac2 Ac 0.0430 0.8758 0.2838 1
Mg1 Mg 0.0000 0.0000 0.0000 1
Pd1 Pd 0.0000 0.0000 0.5000 1
Pd2 Pd 0.0477 0.8637 0.9181 1
```

***

A relaxed structure of AcMgPd4, computed with GGA-PBE.

Values from the calculation:
For the relative energy among the computed polymorphs, the calculation gives 0.000 eV/atom. The value obtained for the calculated formation energy is -0.667 eV/atom.

Cell and atoms, written as CIF:
```
data_AcMgPd4
_space_group_name_H-M_alt 'C m c m'
_space_group_IT_number 63
_space_group_name_Hall '-C 2c 2'
_cell_length_a 4.2839
_cell_length_b 17.7417
_cell_length_c 6.2189
_cell_angle_alpha 90.00
_cell_angle_beta 90.00
_cell_angle_gamma 90.00
loop_
_atom_site_label
_atom_site_type_symbol
_atom_site_fract_x
_atom_site_fract_y
_atom_site_fract_z
_atom_site_occupancy
Ac1 Ac 0.0000 0.0931 0.2500 1
Mg1 Mg 0.0000 0.2261 0.7500 1
Pd1 Pd 0.0000 0.0783 0.7500 1
Pd2 Pd 0.0000 0.3354 0.0328 1
Pd3 Pd 0.0000 0.5000 0.0000 1
```

***

A relaxed structure of Ac3MgPd12, computed with GGA-PBE.

Values from the calculation:
The value obtained for the calculated formation energy is -0.647 eV/atom.

Cell and atoms, written as CIF:
```
data_Ac3MgPd12
_space_group_name_H-M_alt 'P 4/m m m'
_space_group_IT_number 123
_space_group_name_Hall '-P 4 2'
_cell_length_a 4.2815
_cell_length_b 4.2815
_cell_length_c 16.5584
_cell_angle_alpha 90.00
_cell_angle_beta 90.00
_cell_angle_gamma 90.00
loop_
_atom_site_label
_atom_site_type_symbol
_atom_site_fract_x
_atom_site_fract_y
_atom_site_fract_z
_atom_site_occupancy
Ac1 Ac 0.0000 0.0000 0.0000 1
Ac2 Ac 0.0000 0.0000 0.2635 1
Mg1 Mg 0.0000 0.0000 0.5000 1
Pd1 Pd 0.0000 0.5000 0.1307 1
Pd2 Pd 0.0000 0.5000 0.3930 1
Pd3 Pd 0.5000 0.5000 0.0000 1
Pd4 Pd 0.5000 0.5000 0.2607 1
Pd5 Pd 0.5000 0.5000 0.5000 1
```

***

A relaxed structure of AcMg2Pd3, computed with GGA-PBE.

Values from the calculation:
The value obtained for the calculated formation energy is -0.646 eV/atom.

Cell and atoms, written as CIF:
```
data_AcMg2Pd3
_space_group_name_H-M_alt 'C m c m'
_space_group_IT_number 63
_space_group_name_Hall '-C 2c 2'
_cell_length_a 10.4367
_cell_length_b 8.8999
_cell_length_c 5.6794
_cell_angle_alpha 90.00
_cell_angle_beta 90.00
_cell_angle_gamma 90.00
loop_
_atom_site_label
_atom_site_type_symbol
_atom_site_fract_x
_atom_site_fract_y
_atom_site_fract_z
_atom_site_occupancy
Ac1 Ac 0.0000 0.2150 0.2500 1
Mg1 Mg 0.2170 0.5000 0.0000 1
Pd1 Pd 0.0000 0.4441 0.7500 1
Pd2 Pd 0.1961 0.2329 0.7500 1
```

***

A relaxed structure of Ac2MgPd3, computed with GGA-PBE.

Values from the calculation:
The value obtained for the calculated formation energy is -0.670 eV/atom.

Cell and atoms, written as CIF:
```
data_Ac2MgPd3
_space_group_name_H-M_alt 'F m m m'
_space_group_IT_number 69
_space_group_name_Hall '-F 2 2'
_cell_length_a 8.3276
_cell_length_b 9.2529
_cell_length_c 15.9338
_cell_angle_alpha 90.00
_cell_angle_beta 90.00
_cell_angle_gamma 90.00
loop_
_atom_site_label
_atom_site_type_symbol
_atom_site_fract_x
_atom_site_fract_y
_atom_site_fract_z
_atom_site_occupancy
Ac1 Ac 0.2393 0.0000 0.0000 1
Ac2 Ac 0.2500 0.2500 0.2500 1
Mg1 Mg 0.0000 0.0000 0.3344 1
Pd1 Pd 0.0000 0.0000 0.1718 1
Pd2 Pd 0.0000 0.2415 0.4141 1
```

***

A relaxed structure of AcMg2Pd, computed with GGA-PBE.

Values from the calculation:
For the relative energy among the computed polymorphs, the calculation gives 0.220 eV/atom. The value obtained for the calculated formation energy is -0.304 eV/atom.

Cell and atoms, written as CIF:
```
data_AcMg2Pd
_space_group_name_H-M_alt 'R -3 m'
_space_group_IT_number 166
_space_group_name_Hall '-R 3 2"'
_cell_length_a 4.5572
_cell_length_b 4.5572
_cell_length_c 17.8223
_cell_angle_alpha 90.00
_cell_angle_beta 90.00
_cell_angle_gamma 120.00
loop_
_atom_site_label
_atom_site_type_symbol
_atom_site_fract_x
_atom_site_fract_y
_atom_site_fract_z
_atom_site_occupancy
Ac1 Ac 0.0000 0.0000 0.0000 1
Mg1 Mg 0.0000 0.0000 0.2047 1
Pd1 Pd 0.0000 0.0000 0.5000 1
```

***

A relaxed structure of AcMgPd, computed with GGA-PBE.

Values from the calculation:
For the relative energy among the computed polymorphs, the calculation gives 0.000 eV/atom. The value obtained for the calculated formation energy is -0.634 eV/atom.

Cell and atoms, written as CIF:
```
data_AcMgPd
_space_group_name_H-M_alt 'P n m a'
_space_group_IT_number 62
_cell_length_a 7.6924
_cell_length_b 4.4239
_cell_length_c 9.1437
_cell_angle_alpha 90.00
_cell_angle_beta 90.00
_cell_angle_gamma 90.00
loop_
_space_group_symop_operation_xyz
'x,y,z'
'-x,-y,-z'
'-x+1/2,-y,z+1/2'
'x+1/2,y,-z+1/2'
'x+1/2,-y+1/2,-z+1/2'
'-x+1/2,y+1/2,z+1/2'
'-x,y+1/2,-z'
'x,-y+1/2,z'
loop_
_atom_site_label
_atom_site_type_symbol
_atom_site_fract_x
_atom_site_fract_y
_atom_site_fract_z
_atom_site_occupancy
Ac1 Ac 0.0412 0.2500 0.1822 1
Mg1 Mg 0.1302 0.2500 0.5558 1
Pd1 Pd 0.2413 0.7500 0.3806 1
```

***

A relaxed structure of Ac3Mg2Pd4, computed with GGA-PBE.

Values from the calculation:
The value obtained for the calculated formation energy is -0.708 eV/atom.

Cell and atoms, written as CIF:
```
data_Ac3Mg2Pd4
_space_group_name_H-M_alt 'C 1 2/m 1'
_space_group_IT_number 12
_cell_length_a 11.0478
_cell_length_b 4.4390
_cell_length_c 9.4381
_cell_angle_alpha 90.00
_cell_angle_beta 97.36
_cell_angle_gamma 90.00
loop_
_space_group_symop_operation_xyz
'x,y,z'
'-x,-y,-z'
'-x,y,-z'
'x,-y,z'
'x+1/2,y+1/2,z'
'-x+1/2,-y+1/2,-z'
'-x+1/2,y+1/2,-z'
'x+1/2,-y+1/2,z'
loop_
_atom_site_label
_atom_site_type_symbol
_atom_site_fract_x
_atom_site_fract_y
_atom_site_fract_z
_atom_site_occupancy
Ac1 Ac 0.0000 0.0000 0.0000 1
Ac2 Ac 0.1239 0.5000 0.3811 1
Mg1 Mg 0.1793 0.5000 0.7919 1
Pd1 Pd 0.0873 0.0000 0.6344 1
Pd2 Pd 0.2140 0.5000 0.0858 1
```

***

A relaxed structure of AcMgPd4, computed with GGA-PBE.

Values from the calculation:
For the relative energy among the computed polymorphs, the calculation gives 0.012 eV/atom. The value obtained for the calculated formation energy is -0.655 eV/atom.

Cell and atoms, written as CIF:
```
data_AcMgPd4
_space_group_name_H-M_alt 'F -4 3 m'
_space_group_IT_number 216
_space_group_name_Hall 'F -4 2 3'
_cell_length_a 7.7920
_cell_length_b 7.7920
_cell_length_c 7.7920
_cell_angle_alpha 90.00
_cell_angle_beta 90.00
_cell_angle_gamma 90.00
loop_
_atom_site_label
_atom_site_type_symbol
_atom_site_fract_x
_atom_site_fract_y
_atom_site_fract_z
_atom_site_occupancy
Ac1 Ac 0.0000 0.0000 0.0000 1
Mg1 Mg 0.2500 0.2500 0.7500 1
Pd1 Pd 0.1240 0.1240 0.3760 1
```

***

A relaxed structure of Ac3Mg3Pd8, computed with GGA-PBE.

Values from the calculation:
The value obtained for the calculated formation energy is -0.679 eV/atom.

Cell and atoms, written as CIF:
```
data_Ac3Mg3Pd8
_space_group_name_H-M_alt 'I m m m'
_space_group_IT_number 71
_space_group_name_Hall '-I 2 2'
_cell_length_a 4.4909
_cell_length_b 9.7733
_cell_length_c 13.8017
_cell_angle_alpha 90.00
_cell_angle_beta 90.00
_cell_angle_gamma 90.00
loop_
_atom_site_label
_atom_site_type_symbol
_atom_site_fract_x
_atom_site_fract_y
_atom_site_fract_z
_atom_site_occupancy
Ac1 Ac 0.0000 0.0000 0.0000 1
Ac2 Ac 0.0000 0.0000 0.2882 1
Mg1 Mg 0.0000 0.2220 0.5000 1
Mg2 Mg 0.0000 0.5000 0.0000 1
Pd1 Pd 0.0000 0.2914 0.1164 1
Pd2 Pd 0.0000 0.3560 0.3280 1
```